#P
# PBE Na3Ga4Sn2, relaxed
data_Na3Ga4Sn2
_chemical_formula_sum 'Na3 Ga4 Sn2'
_cell_length_a 4.774
_cell_length_b 6.363
_cell_length_c 8.720
_cell_angle_alpha 69.66
_cell_angle_beta 89.64
_cell_angle_gamma 68.14
_space_group_name_H-M_alt 'P -1'
_space_group_IT_number 2
loop_
_space_group_symop_operation_xyz
'x,y,z'
'-x,-y,-z'
loop_
_atom_site_label
_atom_site_type_symbol
_atom_site_fract_x
_atom_site_fract_y
_atom_site_fract_z
Na1 Na 0.000 0.000 0.000
Na2 Na 0.405 0.197 0.653
Ga1 Ga 0.089 0.831 0.648
Ga2 Ga 0.324 0.350 0.962
Sn1 Sn 0.273 0.451 0.256
# - Mass density: 4.26 g/cm³

***

#Q
# PBE Na3Ga4Sn2, relaxed
data_Na3Ga4Sn2
_chemical_formula_sum 'Na6 Ga8 Sn4'
_cell_length_a 10.671
_cell_length_b 4.699
_cell_length_c 9.104
_cell_angle_alpha 90.00
_cell_angle_beta 108.37
_cell_angle_gamma 90.00
_space_group_name_H-M_alt 'C 1 2/m 1'
_space_group_IT_number 12
loop_
_space_group_symop_operation_xyz
'x,y,z'
'-x,-y,-z'
'-x,y,-z'
'x,-y,z'
'x+1/2,y+1/2,z'
'-x+1/2,-y+1/2,-z'
'-x+1/2,y+1/2,-z'
'x+1/2,-y+1/2,z'
loop_
_atom_site_label
_atom_site_type_symbol
_atom_site_fract_x
_atom_site_fract_y
_atom_site_fract_z
Na1 Na 0.000 0.000 0.000
Na2 Na 0.195 0.500 0.637
Ga1 Ga 0.004 0.000 0.363
Ga2 Ga 0.196 0.500 0.007
Sn1 Sn 0.072 0.500 0.246
# - Mass density: 4.49 g/cm³

***

Stability, lowest: #P

***

#P
# PBE Na2SrGa2, relaxed
data_Na2SrGa2
_chemical_formula_sum 'Na4 Sr2 Ga4'
_cell_length_a 4.570
_cell_length_b 4.570
_cell_length_c 13.839
_cell_angle_alpha 90.00
_cell_angle_beta 90.00
_cell_angle_gamma 90.00
_space_group_name_H-M_alt 'I 4/m m m'
_space_group_IT_number 139
_space_group_name_Hall '-I 4 2'
loop_
_atom_site_label
_atom_site_type_symbol
_atom_site_fract_x
_atom_site_fract_y
_atom_site_fract_z
Na1 Na 0.000 0.500 0.250
Sr1 Sr 0.000 0.000 0.000
Ga1 Ga 0.000 0.000 0.408
# - Mass density: 3.14 g/cm³

***

#Q
# PBE Na2SrGa2, relaxed
data_Na2SrGa2
_chemical_formula_sum 'Na4 Sr2 Ga4'
_cell_length_a 8.746
_cell_length_b 8.746
_cell_length_c 3.526
_cell_angle_alpha 90.00
_cell_angle_beta 90.00
_cell_angle_gamma 90.00
_space_group_name_H-M_alt 'P 4/m b m'
_space_group_IT_number 127
_space_group_name_Hall '-P 4 2ab'
loop_
_atom_site_label
_atom_site_type_symbol
_atom_site_fract_x
_atom_site_fract_y
_atom_site_fract_z
Na1 Na 0.118 0.382 0.000
Sr1 Sr 0.000 0.000 0.000
Ga1 Ga 0.183 0.683 0.500
# - Mass density: 3.36 g/cm³

***

#R
# PBE Na2SrGa2, relaxed
data_Na2SrGa2
_chemical_formula_sum 'Na4 Sr2 Ga4'
_cell_length_a 8.269
_cell_length_b 8.269
_cell_length_c 4.338
_cell_angle_alpha 90.00
_cell_angle_beta 90.00
_cell_angle_gamma 90.00
_space_group_name_H-M_alt 'P 4/m b m'
_space_group_IT_number 127
_space_group_name_Hall '-P 4 2ab'
loop_
_atom_site_label
_atom_site_type_symbol
_atom_site_fract_x
_atom_site_fract_y
_atom_site_fract_z
Na1 Na 0.171 0.329 0.000
Sr1 Sr 0.000 0.000 0.500
Ga1 Ga 0.112 0.612 0.500
# - Mass density: 3.06 g/cm³

***

Stability, lowest: #Q

***

#P
# PBE NaSr2Ga2, relaxed
data_NaSr2Ga2
_chemical_formula_sum 'Na2 Sr4 Ga4'
_cell_length_a 6.206
_cell_length_b 6.206
_cell_length_c 8.909
_cell_angle_alpha 90.00
_cell_angle_beta 90.00
_cell_angle_gamma 90.00
_space_group_name_H-M_alt 'I 4/m m m'
_space_group_IT_number 139
_space_group_name_Hall '-I 4 2'
loop_
_atom_site_label
_atom_site_type_symbol
_atom_site_fract_x
_atom_site_fract_y
_atom_site_fract_z
Na1 Na 0.000 0.000 0.000
Sr1 Sr 0.000 0.500 0.250
Ga1 Ga 0.000 0.000 0.364
# - Mass density: 3.27 g/cm³

***

#Q
# PBE NaSr2Ga2, relaxed
data_NaSr2Ga2
_chemical_formula_sum 'Na2 Sr4 Ga4'
_cell_length_a 8.727
_cell_length_b 8.727
_cell_length_c 4.232
_cell_angle_alpha 90.00
_cell_angle_beta 90.00
_cell_angle_gamma 90.00
_space_group_name_H-M_alt 'P 4/m b m'
_space_group_IT_number 127
_space_group_name_Hall '-P 4 2ab'
loop_
_atom_site_label
_atom_site_type_symbol
_atom_site_fract_x
_atom_site_fract_y
_atom_site_fract_z
Na1 Na 0.000 0.000 0.000
Sr1 Sr 0.180 0.320 0.500
Ga1 Ga 0.109 0.609 0.000
# - Mass density: 3.48 g/cm³

***

Stability, lowest: #P